1.
Below is a relaxed structure of Rb2ZnIn12, with properties calculated at the GGA-PBE level.

Summary:
SG: P4/nbm, No. 125
mass density: 5.91 g/cm3
energy of formation from the pure elements: -0.05 eV per atom

Lattice parameters (Å, degrees): 7.0546 7.0546 18.2333 90.00 90.00 90.00
Fractional positions:
1 In 0.5000 0.5000 0.6564
2 In 0.1664 0.3336 0.4327
3 In 0.7503 0.7497 0.9166
4 In 0.2503 0.2497 0.0834
5 In 0.8336 0.6664 0.4327
6 In 0.6664 0.8336 0.5673
7 In 0.5000 0.5000 0.1778
8 In 0.0000 0.0000 0.8222
9 In 0.7497 0.2497 0.9166
10 In 0.7503 0.2503 0.0834
11 In 0.3336 0.1664 0.5673
12 In 0.6664 0.1664 0.4327
13 In 0.2497 0.7497 0.0834
14 In 0.5000 0.5000 0.8222
15 In 0.0000 0.0000 0.1778
16 In 0.8336 0.3336 0.5673
17 In 0.5000 0.5000 0.3436
18 In 0.0000 0.0000 0.3436
19 In 0.2503 0.7503 0.9166
20 In 0.0000 0.0000 0.6564
21 In 0.7497 0.7503 0.0834
22 In 0.2497 0.2503 0.9166
23 In 0.3336 0.8336 0.4327
24 In 0.1664 0.6664 0.5673
25 Rb 0.5000 0.0000 0.7513
26 Rb 0.0000 0.5000 0.7513
27 Rb 0.5000 0.0000 0.2487
28 Rb 0.0000 0.5000 0.2487
29 Zn 0.0000 0.5000 0.0000
30 Zn 0.5000 0.0000 0.0000

2.
Below is a relaxed structure of RbZnIn, with properties calculated at the GGA-PBE level.

Summary:
SG: C2/m, No. 12
energy relative to the lowest polymorph listed for this composition: 0 meV per atom
mass density: 4.27 g/cm3
energy of formation from the pure elements: -0.01 eV per atom

Lattice parameters (Å, degrees): 4.4386 7.1871 6.8614 96.71 90.00 107.99
Fractional positions:
1 In 0.4134 0.8268 0.6201
2 In 0.5866 0.1732 0.3799
3 Zn 0.2129 0.4258 0.4214
4 Zn 0.7871 0.5742 0.5786
5 Rb 0.1189 0.2379 0.8773
6 Rb 0.8811 0.7621 0.1227

3.
Below is a relaxed structure of RbZn2In2, with properties calculated at the GGA-PBE level.

Summary:
SG: I4/mmm, No. 139
energy relative to the lowest polymorph listed for this composition: 29 meV per atom
mass density: 5.28 g/cm3
energy of formation from the pure elements: 0.02 eV per atom

Lattice parameters (Å, degrees): 4.8513 4.8513 6.8737 69.34 69.34 90.00
Fractional positions:
1 In 0.6304 0.6304 0.7392
2 In 0.3696 0.3696 0.2608
3 Rb 0.0000 0.0000 0.0000
4 Zn 0.7500 0.2500 0.5000
5 Zn 0.2500 0.7500 0.5000

Calculated electronic total energy in order - -73.6, -10.0, -8.9 eV per cell